(1)
Crystalline AsPtSe2 at its relaxed geometry. Source: Alexandria via LeMat-Bulk, functional PBE.

Values from the calculation:
Crystal system = tetragonal
Energy relative to the elements, uncorrected = 0.123 eV/atom
SG = I-42d

Cell lengths 5.9806, 5.9806, 11.6169 Å; angles 90.00, 90.00, 90.00 degrees
Closest atoms and distances in Å follow each position.
Positions (direct):
As1 0.0000 0.0000 0.0000  4 Se 2.67
As2 0.0000 0.5000 0.2500  4 Se 2.67
As3 0.5000 0.0000 0.7500  4 Se 2.67
As4 0.5000 0.5000 0.5000  4 Se 2.67
Pt1 0.0000 0.0000 0.5000  4 Se 2.47
Pt2 0.0000 0.5000 0.7500  4 Se 2.47
Pt3 0.5000 0.0000 0.2500  4 Se 2.47
Pt4 0.5000 0.5000 0.0000  4 Se 2.47
Se1 0.2218 0.2500 0.6250  2 Pt 2.47, 2 As 2.67
Se2 0.2500 0.7218 0.8750  2 Pt 2.47, 2 As 2.67
Se3 0.2500 0.7782 0.3750  2 Pt 2.47, 2 As 2.67
Se4 0.2782 0.2500 0.1250  2 Pt 2.47, 2 As 2.67
Se5 0.7218 0.7500 0.1250  2 Pt 2.47, 2 As 2.67
Se6 0.7500 0.2218 0.3750  2 Pt 2.47, 2 As 2.67
Se7 0.7500 0.2782 0.8750  2 Pt 2.47, 2 As 2.67
Se8 0.7782 0.7500 0.6250  2 Pt 2.47, 2 As 2.67

=====

(2)
Crystalline Tb2Ho7Sc at its relaxed geometry. Source: Alexandria via LeMat-Bulk, functional PBE.

Values from the calculation:
Crystal system = orthorhombic
E_form = 0.177 eV/atom
SG = Cmmm

Cell lengths 14.5339, 14.5339, 3.4434 Å; angles 90.00, 90.00, 154.54 degrees
Closest atoms and distances in Å follow each position.
Positions (direct):
Tb1 0.2077 0.7923 0.0000  2 Tb 3.44, 8 Ho 3.49-3.69
Tb2 0.7923 0.2077 0.0000  2 Tb 3.44, 8 Ho 3.49-3.69
Ho1 0.0000 0.0000 0.0000  6 Ho 3.19-3.44
Ho2 0.1591 0.3524 0.0000  7 Ho 3.13-3.44
Ho3 0.3147 0.6853 0.5000  6 Ho 3.42-3.44, 6 Tb 3.49-3.69
Ho4 0.3524 0.1591 0.0000  7 Ho 3.13-3.44
Ho5 0.6476 0.8409 0.0000  7 Ho 3.13-3.44
Ho6 0.6853 0.3147 0.5000  6 Ho 3.42-3.44, 6 Tb 3.49-3.69
Ho7 0.8409 0.6476 0.0000  7 Ho 3.13-3.44
Sc1 0.5000 0.5000 0.5000  2 Sc 3.44, 12 Ho 3.59-3.64

=====

(3)
Crystalline KPd2Au2 at its relaxed geometry. Source: Alexandria via LeMat-Bulk, functional PBE.

Values from the calculation:
Crystal system = tetragonal
E_form = -0.085 eV/atom
SG = P4/mbm

Cell lengths 8.3141, 8.3141, 2.8722 Å; angles 90.00, 90.00, 90.00 degrees
Closest atoms and distances in Å follow each position.
Positions (direct):
K1 0.0000 0.0000 0.0000  2 K 2.87
K2 0.5000 0.5000 0.0000  2 K 2.87
Pd1 0.1642 0.3358 0.5000  6 Au 2.81-2.85, 2 Pd 2.87
Pd2 0.3358 0.8358 0.5000  6 Au 2.81-2.85, 2 Pd 2.87
Pd3 0.6642 0.1642 0.5000  6 Au 2.81-2.85, 2 Pd 2.87
Pd4 0.8358 0.6642 0.5000  6 Au 2.81-2.85, 2 Pd 2.87
Au1 0.1306 0.6306 0.0000  6 Pd 2.81-2.85, 3 Au 2.87-3.07
Au2 0.3694 0.1306 0.0000  6 Pd 2.81-2.85, 3 Au 2.87-3.07
Au3 0.6306 0.8694 0.0000  6 Pd 2.81-2.85, 3 Au 2.87-3.07
Au4 0.8694 0.3694 0.0000  6 Pd 2.81-2.85, 3 Au 2.87-3.07

=====

no.,uncorrected energy (eV/cell)
1,-68.7
2,-45.9
3,-36.9